Entry 1:
Computed, not measured: an optimized crystal structure of ZrTi3Nb at the PBE level of DFT.

## Properties
* energy relative to the elements: 190 meV per atom
* raw total energy: -8.271 eV/atom
* DOS(E_F): 6.147 states/eV/f.u.
* calculated volume: 19.2 A^3/atom
* SG: Pmmn
* excess energy over the best structure of this formula in the dataset: 0.122 eV/atom

a b c (Å): 4.521 5.907 7.179
angles (deg): 90.00 90.00 90.00
Last column: magnetic moment on the atom in μB.
Fractional positions:
1 Ti 0.750 0.527 0.774  0.06
2 Ti 0.250 0.473 0.226  0.06
3 Ti 0.250 0.250 0.770  0.22
4 Ti 0.750 0.750 0.230  0.22
5 Ti 0.250 0.027 0.226  0.06
6 Ti 0.750 0.973 0.774  0.06
7 Zr 0.750 0.250 0.446  -0.02
8 Zr 0.250 0.750 0.554  -0.02
9 Nb 0.750 0.250 0.061  -0.03
10 Nb 0.250 0.750 0.939  -0.03

Entry 2:
Computed, not measured: an optimized crystal structure of CoCuW2 at the PBE level of DFT.

## Properties
* energy relative to the elements: 336 meV per atom
* raw total energy: -8.941 eV/atom
* DOS(E_F): 4.215 states/eV/f.u.
* calculated volume: 13.9 A^3/atom
* SG: Imm2
* excess energy over the best structure of this formula in the dataset: 0.148 eV/atom

a b c (Å): 4.751 4.751 4.751
angles (deg): 133.10 133.67 68.05
Last column: magnetic moment on the atom in μB.
Fractional positions:
1 W 0.751 0.251 0.500  0.14
2 W 0.000 0.000 0.000  0.30
3 Cu 0.249 0.749 0.500  0.06
4 Co 0.500 0.500 0.000  1.19

Entry 3:
Computed, not measured: an optimized crystal structure of SiPtW4 at the PBE level of DFT.

## Properties
* ΔE_f (raw): 0.670 eV per atom
* raw total energy: -9.876 eV/atom
* DOS(E_F): 3.550 states/eV/f.u.
* calculated volume: 16.9 A^3/atom
* SG: F-43m

a b c (Å): 5.238 5.238 5.238
angles (deg): 60.00 60.00 60.00
Fractional positions:
1 W 0.375 0.375 0.375
2 W 0.375 0.375 0.876
3 W 0.375 0.876 0.375
4 W 0.876 0.375 0.375
5 Si 0.000 0.000 0.000
6 Pt 0.750 0.750 0.750